Record 1
VASP calculation (PBE) on a geometry-optimized ReOsPt2 structure.

The calculation puts the total energy at -135.8 eV per cell. Its magnetic moment is 5.14 Bohr magnetons per cell. The density of states at the Fermi level is 5.17 states/eV/f.u. The formation enthalpy at 0 K is 1.82 eV/f.u.

The structure belongs to space group F-43m (No. 216); the cell edges are 6.2791, 6.2791 and 6.2791 Å and the angles 90.00°, 90.00° and 90.00°. The asymmetric unit holds Re at (0.0000, 0.0000, 0.0000), Os at (0.2500, 0.2500, 0.7500), Pt at (0.0000, 0.0000, 0.5000) and Pt at (0.2500, 0.2500, 0.2500).

Record 2
VASP calculation (PBE) on a geometry-optimized AcPmSi2 structure.

The formation energy from raw total energies is -645 meV per atom. The calculation puts the total energy at -44.6 eV per cell. Its magnetic moment is 0.00 Bohr magnetons per cell. The density of states at the Fermi level is 3.06 states/eV/f.u.

The structure belongs to space group Pmc2_1 (No. 26); the cell edges are 4.0392, 6.1369 and 8.4298 Å and the angles 90.00°, 90.00° and 90.00°. The asymmetric unit holds Ac at (0.0000, 0.1292, 0.0000), Pm at (0.5000, 0.3666, 0.3596), Si at (0.0000, 0.3842, 0.6428) and Si at (0.5000, 0.1572, 0.7092).

Record 3
VASP calculation (PBE) on a geometry-optimized ZnGe2H structure.

The calculation puts the total energy at -47.4 eV per cell. Its magnetic moment is 0.00 Bohr magnetons per cell. The density of states at the Fermi level is 1.88 states/eV/f.u.

The structure belongs to space group Fm-3m (No. 225); the cell edges are 6.1729, 6.1729 and 6.1729 Å and the angles 90.00°, 90.00° and 90.00°. The asymmetric unit holds Zn at (0.0000, 0.0000, 0.0000), Ge at (0.2500, 0.2500, 0.2500) and H at (0.0000, 0.0000, 0.5000).

Record 4
VASP calculation (PBE) on a geometry-optimized TbGd2Ho structure.

The calculation puts the total energy at -37.3 eV per cell. Its magnetic moment is 14.37 Bohr magnetons per cell. The density of states at the Fermi level is 7.02 states/eV/f.u. The formation enthalpy at 0 K is 0.10 eV/f.u.

The structure belongs to space group P4/mmm (No. 123); the cell edges are 3.5585, 3.5585 and 10.0694 Å and the angles 90.00°, 90.00° and 90.00°. The asymmetric unit holds Tb at (0.0000, 0.0000, 0.0000), Gd at (0.5000, 0.5000, 0.2511) and Ho at (0.0000, 0.0000, 0.5000).

Record 5
VASP calculation (PBE) on a geometry-optimized DyYZnIr structure.

The calculation puts the total energy at -94.9 eV per cell. Its magnetic moment is 0.00 Bohr magnetons per cell. The density of states at the Fermi level is 2.87 states/eV/f.u. The formation enthalpy at 0 K is -2.51 eV/f.u.

The structure belongs to space group F-43m (No. 216); the cell edges are 6.9770, 6.9770 and 6.9770 Å and the angles 90.00°, 90.00° and 90.00°. The asymmetric unit holds Dy at (0.0000, 0.0000, 0.0000), Y at (0.0000, 0.0000, 0.5000), Zn at (0.2500, 0.2500, 0.2500) and Ir at (0.2500, 0.2500, 0.7500).

Record 6
VASP calculation (PBE) on a geometry-optimized Ga2Pd3Au2 structure.

The calculation puts the total energy at -30.9 eV per cell. Its magnetic moment is 0.00 Bohr magnetons per cell. The density of states at the Fermi level is 2.13 states/eV/f.u. The formation enthalpy at 0 K is -2.72 eV/f.u.

The structure belongs to space group P-1 (No. 2); the cell edges are 4.1842, 4.5018 and 7.3293 Å and the angles 106.51°, 90.19° and 117.66°. The asymmetric unit holds Ga at (0.0788, 0.1587, 0.2948), Pd at (0.2387, 0.4768, 0.6813), Pd at (0.5000, 0.0000, 0.5000) and Au at (0.3686, 0.7389, 0.0960).

Record 7
VASP calculation (PBE) on a geometry-optimized Er2NiTe structure.

The formation energy from raw total energies is -811 meV per atom. The calculation puts the total energy at -63.9 eV per cell. Its magnetic moment is 0.00 Bohr magnetons per cell. The density of states at the Fermi level is 1.22 states/eV/f.u.

The structure belongs to space group R3m (No. 160, hexagonal axes); the cell edges are 4.0744, 4.0744 and 21.0760 Å and the angles 90.00°, 90.00° and 120.00°. The asymmetric unit holds Er at (0.0000, 0.0000, 0.0000), Er at (0.0000, 0.0000, 0.1993), Ni at (0.0000, 0.0000, 0.5976) and Te at (0.0000, 0.0000, 0.4332).

Record 8
VASP calculation (PBE) on a geometry-optimized BaRhW structure.

The calculation puts the total energy at -61.4 eV per cell. Its magnetic moment is 10.67 Bohr magnetons per cell. The density of states at the Fermi level is 5.89 states/eV/f.u. The formation enthalpy at 0 K is 6.88 eV/f.u.

The structure belongs to space group F-43m (No. 216); the cell edges are 6.7693, 6.7693 and 6.7693 Å and the angles 90.00°, 90.00° and 90.00°. The asymmetric unit holds Ba at (0.0000, 0.0000, 0.0000), Rh at (0.2500, 0.2500, 0.2500) and W at (0.2500, 0.2500, 0.7500).